Compound: LuOs2W
Source: Alexandria via LeMat-Bulk
Functional: GGA-PBE
Structure: relaxed

Cell: 3.095 3.095 7.117 Å, 90.00 90.00 90.00°
Element x y z (fractional)
W: 0.500 0.500 0.000
Lu: 0.500 0.500 0.500
Os: 0.000 0.000 0.220
Os: 0.000 0.000 0.780

Properties
The value obtained for the formation energy is -0.26 eV per formula unit. Its density of states at the Fermi level is 3.630 states/eV/cell. For the total moment, the calculation gives 0.000 μB per atom.

Compound: TbPr4Ga4
Source: Alexandria via LeMat-Bulk
Functional: GGA-PBE
Structure: relaxed

Cell: 4.818 10.408 10.408 Å, 90.00 90.00 90.00°
Element x y z (fractional)
Ga: 0.000 0.334 0.431
Ga: 0.500 0.069 0.834
Ga: 0.000 0.666 0.569
Ga: 0.500 0.166 0.069
Ga: 0.000 0.569 0.334
Ga: 0.000 0.431 0.666
Ga: 0.500 0.834 0.931
Ga: 0.500 0.931 0.166
Pr: 0.000 0.353 0.134
Pr: 0.500 0.147 0.366
Pr: 0.500 0.853 0.634
Pr: 0.000 0.647 0.866
Pr: 0.500 0.634 0.147
Pr: 0.000 0.866 0.353
Pr: 0.000 0.134 0.647
Pr: 0.500 0.366 0.853
Tb: 0.000 0.000 0.000
Tb: 0.500 0.500 0.500

Properties
The value obtained for the formation energy is -3.54 eV per formula unit. Its density of states at the Fermi level is 18.581 states/eV/cell. For the total moment, the calculation gives 0.000 μB per atom.

Compound: CeFeH8Ir2
Source: Alexandria via LeMat-Bulk
Functional: GGA-PBE
Structure: relaxed

Cell: 4.660 4.660 5.817 Å, 66.39 66.39 60.00°
Site moments in Bohr magnetons follow the coordinates.
Element x y z (fractional)
H: 0.055 0.640 0.251  -0.01
H: 0.183 0.183 0.451  0.00
H: 0.945 0.360 0.749  -0.01
H: 0.640 0.054 0.251  -0.01
H: 0.054 0.055 0.251  -0.01
H: 0.360 0.946 0.749  -0.01
H: 0.817 0.817 0.549  0.00
H: 0.946 0.945 0.749  -0.01
Ir: 0.290 0.290 0.131  0.10
Ir: 0.710 0.710 0.869  0.10
Fe: 0.000 0.000 0.000  1.79
Ce: 0.500 0.500 0.500  0.68

Properties
Its density of states at the Fermi level is 7.595 states/eV/cell. For the total moment, the calculation gives 0.221 μB per atom. Its energy is -60.6 eV/cell.

Compound: Pm8MgSc2
Source: Alexandria via LeMat-Bulk
Functional: GGA-PBE
Structure: relaxed

Cell: 5.488 7.665 9.662 Å, 113.37 106.50 90.00°
Element x y z (fractional)
Mg: 0.500 0.000 0.000
Sc: 0.193 0.693 0.387
Sc: 0.807 0.307 0.613
Pm: 0.178 0.178 0.355
Pm: 0.362 0.579 0.725
Pm: 0.000 0.274 0.000
Pm: 0.638 0.854 0.275
Pm: 0.822 0.822 0.645
Pm: 0.000 0.726 0.000
Pm: 0.638 0.421 0.275
Pm: 0.362 0.146 0.725

Properties
The value obtained for the formation energy is 1.19 eV per formula unit. As for the polymorph energy (0 for the lowest one): 82 meV per atom. Its density of states at the Fermi level is 20.208 states/eV/cell. For the total moment, the calculation gives 0.000 μB per atom.

Compound: KPuB2O8
Source: Alexandria via LeMat-Bulk
Functional: GGA-PBE
Structure: relaxed

Cell: 5.056 5.056 7.536 Å, 70.36 70.36 63.71°
Site moments in Bohr magnetons follow the coordinates.
Element x y z (fractional)
Pu: 0.000 0.000 0.000  1.76
O: 0.257 0.710 0.201  -0.09
O: 0.584 0.584 0.420  -0.09
O: 0.749 0.749 0.090  -0.09
O: 0.290 0.743 0.799  -0.09
O: 0.416 0.416 0.580  -0.09
O: 0.251 0.251 0.910  -0.09
O: 0.743 0.290 0.799  -0.09
O: 0.710 0.257 0.201  -0.09
B: 0.431 0.431 0.774  0.00
B: 0.569 0.569 0.226  0.00
K: 0.000 0.000 0.500  0.00

Properties
Its density of states at the Fermi level is 2.893 states/eV/cell. For the total moment, the calculation gives 0.081 μB per atom. Its energy is -92.2 eV/cell.

Compound: Nd2DyTm9
Source: Alexandria via LeMat-Bulk
Functional: GGA-PBE
Structure: relaxed

Cell: 4.985 4.985 14.948 Å, 90.00 90.00 90.00°
Element x y z (fractional)
Tm: 0.000 0.500 0.835
Tm: 0.500 0.000 0.835
Tm: 0.500 0.500 0.668
Tm: 0.500 0.000 0.165
Tm: 0.000 0.500 0.500
Tm: 0.500 0.500 0.332
Tm: 0.000 0.500 0.165
Tm: 0.500 0.500 0.000
Tm: 0.500 0.000 0.500
Nd: 0.000 0.000 0.667
Nd: 0.000 0.000 0.333
Dy: 0.000 0.000 0.000

Properties
The value obtained for the formation energy is 0.34 eV per formula unit. As for the polymorph energy (0 for the lowest one): 0 meV per atom. Its density of states at the Fermi level is 17.002 states/eV/cell. For the total moment, the calculation gives 0.000 μB per atom.

Compound: TmSiAu
Source: Alexandria via LeMat-Bulk
Functional: GGA-PBE
Structure: relaxed

Cell: 3.401 3.401 5.680 Å, 107.42 107.42 90.00°
Element x y z (fractional)
Si: 0.299 0.299 0.598
Tm: 0.616 0.616 0.231
Au: 0.935 0.935 0.870

Properties
Its density of states at the Fermi level is 2.011 states/eV/cell. For the total moment, the calculation gives 0.000 μB per atom. Its energy is -14.3 eV/cell.

Compound: ErBe2Si2Tc
Source: Alexandria via LeMat-Bulk
Functional: GGA-PBE
Structure: relaxed

Cell: 3.911 3.911 6.384 Å, 90.00 90.00 120.00°
Element x y z (fractional)
Be: 0.333 0.667 0.327
Be: 0.667 0.333 0.673
Er: 0.000 0.000 0.000
Tc: 0.000 0.000 0.500
Si: 0.667 0.333 0.286
Si: 0.333 0.667 0.714

Properties
Its density of states at the Fermi level is 4.617 states/eV/cell. For the total moment, the calculation gives 0.000 μB per atom. Its energy is -35.7 eV/cell.

Compound: LiCdGa2H
Source: Alexandria via LeMat-Bulk
Functional: GGA-PBE
Structure: relaxed

Cell: 4.366 4.366 4.077 Å, 90.00 90.00 90.00°
Element x y z (fractional)
H: 0.000 0.000 0.000
Ga: 0.500 0.000 0.000
Ga: 0.000 0.500 0.000
Li: 0.000 0.000 0.500
Cd: 0.500 0.500 0.500

Properties
Its density of states at the Fermi level is 0.962 states/eV/cell. For the total moment, the calculation gives 0.000 μB per atom. Its energy is -12.3 eV/cell.

Compound: TaCdFe2
Source: Alexandria via LeMat-Bulk
Functional: GGA-PBE
Structure: relaxed

Cell: 2.960 2.953 7.606 Å, 67.20 90.00 90.00°
Site moments in Bohr magnetons follow the coordinates.
Element x y z (fractional)
Fe: 0.500 0.277 0.223  1.86
Fe: 0.000 0.957 0.043  2.55
Cd: 0.500 0.721 0.779  -0.03
Ta: 0.000 0.545 0.455  -0.13

Properties
The value obtained for the formation energy is 0.71 eV per formula unit. Its density of states at the Fermi level is 3.447 states/eV/cell. For the total moment, the calculation gives 1.045 μB per atom.

Compound: AcPRuN
Source: Alexandria via LeMat-Bulk
Functional: GGA-PBE
Structure: relaxed

Cell: 4.068 4.068 8.221 Å, 90.00 90.00 90.00°
Element x y z (fractional)
Ru: 0.500 0.500 0.500
Ru: 0.000 0.000 0.500
Ac: 0.500 0.000 0.170
Ac: 0.000 0.500 0.830
P: 0.500 0.000 0.644
P: 0.000 0.500 0.356
N: 0.000 0.500 0.147
N: 0.500 0.000 0.853

Properties
Its density of states at the Fermi level is 2.243 states/eV/cell. For the total moment, the calculation gives 0.000 μB per atom. Its energy is -63.3 eV/cell.

Compound: Li2Hf5H12
Source: Alexandria via LeMat-Bulk
Functional: GGA-PBE
Structure: relaxed

Cell: 5.352 5.441 6.553 Å, 95.95 90.00 119.46°
Element x y z (fractional)
H: 0.064 0.128 0.214
H: 0.517 0.035 0.837
H: 0.483 0.965 0.163
H: 0.496 0.361 0.091
H: 0.936 0.872 0.786
H: 0.080 0.669 0.401
H: 0.504 0.639 0.909
H: 0.411 0.331 0.599
H: 0.589 0.669 0.401
H: 0.920 0.331 0.599
H: 0.865 0.361 0.091
H: 0.135 0.639 0.909
Hf: 0.656 0.313 0.354
Hf: 0.722 0.443 0.828
Hf: 0.278 0.557 0.172
Hf: 0.000 0.000 0.500
Hf: 0.344 0.687 0.646
Li: 0.774 0.000 0.000
Li: 0.226 0.000 0.000

Properties
Its density of states at the Fermi level is 5.217 states/eV/cell. For the total moment, the calculation gives 0.000 μB per atom. Its energy is -99.9 eV/cell.

Compound: SbRh5Se8
Source: Alexandria via LeMat-Bulk
Functional: GGA-PBE
Structure: relaxed

Cell: 3.688 8.594 9.534 Å, 102.10 101.15 90.00°
Element x y z (fractional)
Sb: 0.487 0.450 0.974
Se: 0.177 0.500 0.354
Se: 0.829 0.503 0.657
Se: 0.435 0.848 0.870
Se: 0.912 0.181 0.825
Se: 0.567 0.193 0.134
Se: 0.764 0.850 0.528
Se: 0.235 0.153 0.470
Se: 0.089 0.820 0.178
Rh: 0.656 0.972 0.311
Rh: 0.007 0.011 0.013
Rh: 0.340 0.019 0.680
Rh: 0.702 0.323 0.403
Rh: 0.300 0.677 0.601

Properties
Its density of states at the Fermi level is 6.752 states/eV/cell. For the total moment, the calculation gives 0.000 μB per atom. Its energy is -72.8 eV/cell.

Compound: LiInGaHg
Source: Alexandria via LeMat-Bulk
Functional: GGA-PBE
Structure: relaxed

Cell: 4.437 4.437 5.242 Å, 115.05 115.04 90.00°
Element x y z (fractional)
In: 0.750 0.250 0.500
Ga: 0.500 0.500 0.000
Hg: 0.250 0.750 0.500
Li: 0.000 0.000 0.000

Properties
The value obtained for the formation energy is -0.55 eV per formula unit. As for the polymorph energy (0 for the lowest one): 0 meV per atom. Its density of states at the Fermi level is 1.246 states/eV/cell. For the total moment, the calculation gives 0.000 μB per atom.

Compound: LaTiGeC2
Source: Alexandria via LeMat-Bulk
Functional: GGA-PBE
Structure: relaxed

Cell: 4.118 4.118 5.425 Å, 90.00 90.00 90.00°
Site moments in Bohr magnetons follow the coordinates.
Element x y z (fractional)
Ti: 0.500 0.500 0.500  1.21
C: 0.500 0.000 0.000  -0.04
C: 0.000 0.500 0.000  -0.04
Ge: 0.000 0.000 0.000  0.01
La: 0.000 0.000 0.500  0.20

Properties
The value obtained for the formation energy is 10.11 eV per formula unit. Its density of states at the Fermi level is 4.569 states/eV/cell. For the total moment, the calculation gives 0.331 μB per atom.